1.
Ba7Se5S: optimized geometry, PBE.

E_form (uncorrected) = -1.812 eV per atom
Space-group type = Cmcm

The structure in extended XYZ format:
```
26
Lattice="4.630 0.000 0.000 -2.316 7.718 0.010 0.000 -0.029 27.818" Properties=species:S:1:pos:R:3 pbc="T T T"
Ba 2.315 2.121 12.906
Ba -0.001 6.905 6.965
Ba 0.000 2.830 8.902
Ba 2.315 0.794 20.863
Ba 0.000 1.303 16.825
Ba -0.001 5.572 14.923
Ba 2.315 4.866 18.927
Ba 2.315 2.135 1.010
Ba 2.315 6.391 11.003
Ba 2.315 4.866 22.813
Ba 2.315 6.399 2.925
Ba 0.000 2.834 5.016
Ba 0.000 1.299 24.905
Ba -0.001 5.563 26.819
Se 2.315 3.464 25.725
Se 0.000 4.234 2.103
Se -0.001 6.984 23.757
Se -0.001 6.985 17.987
Se 0.000 4.224 11.818
Se 2.315 3.470 16.012
Se 0.000 -0.012 13.909
Se 2.315 0.715 4.071
Se 0.000 0.005 0.000
Se 2.315 0.710 9.842
S 2.315 4.516 6.960
S 0.000 3.182 20.868
```



2.
SrLiIn5: optimized geometry, PBE.

Formation energy from the elements = -0.220 eV/atom
Space-group type = P4/mmm

The structure in extended XYZ format:
```
7
Lattice="4.885 0.000 0.000 0.000 4.885 0.000 0.000 0.000 7.806" Properties=species:S:1:pos:R:3 pbc="T T T"
Sr 0.000 0.000 0.000
In 2.443 0.000 5.452
In 2.443 0.000 2.354
In 0.000 2.443 2.354
In 0.000 2.443 5.452
In 2.443 2.443 0.000
Li 0.000 0.000 3.903
```



3.
Dy2RuBr: optimized geometry, PBE.

E_form (uncorrected) = -0.818 eV per atom
Space-group type = Pmm2
Distance to the lowest polymorph of the same formula = 0 kJ/mol of formula units

The structure in extended XYZ format:
```
4
Lattice="-0.210 -0.760 3.334 3.460 0.080 0.238 -0.313 8.128 1.834" Properties=species:S:1:pos:R:3 pbc="T T T"
Br 0.486 -0.610 2.789
Ru 1.974 3.492 3.818
Dy 0.413 2.218 1.668
Dy 0.288 5.446 2.396
```



4.
CaZr2ZnGa: optimized geometry, PBE.

Formation energy from the elements = 1.447 eV/atom
Space-group type = P4/mmm

The structure in extended XYZ format:
```
5
Lattice="-2.724 2.714 3.279 -4.326 -1.376 -2.454 -0.416 -4.044 3.001" Properties=species:S:1:pos:R:3 pbc="T T T"
Ga -2.163 -0.688 -1.227
Zr -1.362 1.357 1.639
Zr -0.208 -2.022 1.500
Ca 0.000 0.000 0.000
Zn -3.733 -1.353 1.913
```



For the records above, the corresponding VASP energy values read -4.51; -2.69; -5.86; -3.23 eV/atom.